Density functional theory data (PBE) for a relaxed Ac12Ag2Sn5 crystal.

Cell lengths 10.2739, 10.2739, 10.4566 Å; angles 100.98, 100.98, 47.05 degrees
With the nearest neighbours (Å) after each atom.
Positions (direct):
Ac 0.0102 0.0102 0.2915  2 Ag 3.32, 2 Sn 3.51
Ac 0.0834 0.5819 0.9002  1 Ag 3.18, 3 Sn 3.39-3.52
Ac 0.1087 0.5944 0.4232  4 Sn 3.36-3.42
Ac 0.4056 0.8913 0.5768  4 Sn 3.36-3.42
Ac 0.4181 0.9166 0.0998  1 Ag 3.18, 3 Sn 3.39-3.52
Ac 0.4871 0.4871 0.1764  2 Ag 3.31, 1 Sn 3.34
Ac 0.5129 0.5129 0.8236  2 Ag 3.31, 1 Sn 3.34
Ac 0.5819 0.0834 0.9002  1 Ag 3.18, 3 Sn 3.39-3.52
Ac 0.5944 0.1087 0.4232  4 Sn 3.36-3.42
Ac 0.8913 0.4056 0.5768  4 Sn 3.36-3.42
Ac 0.9166 0.4181 0.0998  1 Ag 3.18, 3 Sn 3.39-3.52
Ac 0.9898 0.9898 0.7085  2 Ag 3.32, 2 Sn 3.51
Ag 0.1702 0.8298 0.0000  1 Ag 2.79
Ag 0.8298 0.1702 0.0000  1 Ag 2.79
Sn 0.1769 0.1769 0.8388  7 Ac 3.41-3.52
Sn 0.2006 0.2006 0.3635  7 Ac 3.36-3.51
Sn 0.5000 0.5000 0.5000  6 Ac 3.34-3.39
Sn 0.7994 0.7994 0.6365  7 Ac 3.36-3.51
Sn 0.8231 0.8231 0.1612  7 Ac 3.41-3.52

Results
formation energy	-5.85	eV per formula unit
total DFT energy (no corrections)	-80.9	eV per cell

***

Density functional theory data (PBE) for a relaxed K2LiSmI6 crystal.

Cell lengths 8.1704, 8.6150, 14.1598 Å; angles 90.00, 124.54, 90.00 degrees
With the nearest neighbours (Å) after each atom.
Positions (direct):
K 0.2165 0.0853 0.2461  6 I 3.57-3.75
K 0.2165 0.4147 0.7461  6 I 3.57-3.75
K 0.7835 0.5853 0.2539  6 I 3.57-3.75
K 0.7835 0.9147 0.7539  6 I 3.57-3.75
Li 0.0000 0.0000 0.5000  6 I 3.00-3.11
Li 0.0000 0.5000 0.0000  6 I 3.00-3.11
Sm 0.5000 0.0000 0.0000  6 I 3.10-3.11
Sm 0.5000 0.5000 0.5000  6 I 3.10-3.11
I 0.1387 0.1967 0.9467  1 Sm 3.10, 1 Li 3.11
I 0.1387 0.3033 0.4467  1 Sm 3.10, 1 Li 3.11
I 0.2573 0.6969 0.9487  1 Li 3.09, 1 Sm 3.11
I 0.2573 0.8031 0.4487  1 Li 3.09, 1 Sm 3.11
I 0.3515 0.0208 0.7449  1 Li 3.00, 1 Sm 3.10
I 0.3515 0.4792 0.2449  1 Li 3.00, 1 Sm 3.10
I 0.6485 0.5208 0.7551  1 Li 3.00, 1 Sm 3.10
I 0.6485 0.9792 0.2551  1 Li 3.00, 1 Sm 3.10
I 0.7427 0.1969 0.5513  1 Li 3.09, 1 Sm 3.11
I 0.7427 0.3031 0.0513  1 Li 3.09, 1 Sm 3.11
I 0.8613 0.6967 0.5533  1 Sm 3.10, 1 Li 3.11
I 0.8613 0.8033 0.0533  1 Sm 3.10, 1 Li 3.11

Results
total DFT energy (no corrections)	-64.1	eV per cell
formation energy (no corrections)	-1343	kJ/mol of formula units

***

Density functional theory data (PBE) for a relaxed Pm4Nd7Sm crystal.

Cell lengths 8.7580, 8.7580, 9.4719 Å; angles 114.29, 114.29, 40.74 degrees
With the nearest neighbours (Å) after each atom.
Positions (direct):
Pm 0.0737 0.0737 0.1988  4 Nd 3.33-3.73, 1 Pm 3.47
Pm 0.1726 0.1726 0.8893  7 Nd 3.29-3.62
Pm 0.8274 0.8274 0.1107  7 Nd 3.29-3.62
Pm 0.9263 0.9263 0.8012  4 Nd 3.33-3.73, 1 Pm 3.47
Nd 0.0000 0.0000 0.5000  2 Sm 3.05
Nd 0.2886 0.2886 0.6229  5 Nd 3.33-3.71
Nd 0.2918 0.2918 0.2739  1 Sm 3.14, 2 Pm 3.29-3.33, 2 Nd 3.33-3.47
Nd 0.4179 0.4179 0.0601  3 Nd 3.36-3.73, 3 Pm 3.52-3.62
Nd 0.5821 0.5821 0.9399  3 Nd 3.36-3.73, 3 Pm 3.52-3.62
Nd 0.7082 0.7082 0.7261  1 Sm 3.14, 2 Pm 3.29-3.33, 2 Nd 3.33-3.47
Nd 0.7114 0.7114 0.3771  5 Nd 3.33-3.71
Sm 0.5000 0.5000 0.5000  4 Nd 3.05-3.14

Results
formation energy	2.41	eV per formula unit
total DFT energy (no corrections)	-54.7	eV per cell

***

Density functional theory data (PBE) for a relaxed CsCrHgSe3 crystal.

Cell lengths 7.9430, 7.9430, 7.0129 Å; angles 90.00, 90.00, 123.82 degrees
With the nearest neighbours (Å) after each atom.
Positions (direct):
Cs 0.2486 0.7514 0.7500  4 Se 3.54-3.76
Cs 0.7514 0.2486 0.2500  4 Se 3.54-3.76
Cr 0.4467 0.5533 0.2500  5 Se 2.31-2.47
Cr 0.5533 0.4467 0.7500  5 Se 2.31-2.47
Hg 0.0787 0.9213 0.2500  5 Se 2.85-3.00
Hg 0.9213 0.0787 0.7500  5 Se 2.85-3.00
Se 0.2821 0.7179 0.2500  1 Cr 2.31
Se 0.2906 0.2906 0.0000  2 Cr 2.47
Se 0.2906 0.2906 0.5000  2 Cr 2.47
Se 0.7094 0.7094 0.0000  2 Cr 2.47
Se 0.7094 0.7094 0.5000  2 Cr 2.47
Se 0.7179 0.2821 0.7500  1 Cr 2.31

Results
total DFT energy (no corrections)	-48.7	eV per cell
formation energy (no corrections)	-301	kJ/mol of formula units

***

Repeat the third record exactly.
Density functional theory data (PBE) for a relaxed Pm4Nd7Sm crystal.

Cell lengths 8.7580, 8.7580, 9.4719 Å; angles 114.29, 114.29, 40.74 degrees
With the nearest neighbours (Å) after each atom.
Positions (direct):
Pm 0.0737 0.0737 0.1988  4 Nd 3.33-3.73, 1 Pm 3.47
Pm 0.1726 0.1726 0.8893  7 Nd 3.29-3.62
Pm 0.8274 0.8274 0.1107  7 Nd 3.29-3.62
Pm 0.9263 0.9263 0.8012  4 Nd 3.33-3.73, 1 Pm 3.47
Nd 0.0000 0.0000 0.5000  2 Sm 3.05
Nd 0.2886 0.2886 0.6229  5 Nd 3.33-3.71
Nd 0.2918 0.2918 0.2739  1 Sm 3.14, 2 Pm 3.29-3.33, 2 Nd 3.33-3.47
Nd 0.4179 0.4179 0.0601  3 Nd 3.36-3.73, 3 Pm 3.52-3.62
Nd 0.5821 0.5821 0.9399  3 Nd 3.36-3.73, 3 Pm 3.52-3.62
Nd 0.7082 0.7082 0.7261  1 Sm 3.14, 2 Pm 3.29-3.33, 2 Nd 3.33-3.47
Nd 0.7114 0.7114 0.3771  5 Nd 3.33-3.71
Sm 0.5000 0.5000 0.5000  4 Nd 3.05-3.14

Results
formation energy	2.41	eV per formula unit
total DFT energy (no corrections)	-54.7	eV per cell